Entry from Alexandria via LeMat-Bulk: a relaxed structure of RbEr2AuS4 (PBE).

Properties
Raw total energy (eV per atom): -5.253
E_form (uncorrected) (eV per formula unit): -12.1

a b c (Å): 4.0315 13.7598 14.0907
angles (deg): 90.00 90.00 90.00
Space group Cmcm (No. 63)
One atom of each set of equivalent atoms:
Rb 0.0000 0.1189 0.2500
Er 0.0000 0.3693 0.0665
Au 0.0000 0.1615 0.7500
S 0.0000 0.0000 0.0000
S 0.0000 0.2585 0.5987
S 0.0000 0.4431 0.2500